Entry 1:
# FeCo3 PBE relaxed
data_FeCo3
_cell_length_a 2.8128
_cell_length_b 3.9956
_cell_length_c 8.0264
_cell_angle_alpha 90.00
_cell_angle_beta 90.00
_cell_angle_gamma 90.00
_symmetry_space_group_name_H-M 'P m m a'
_symmetry_Int_Tables_number 51
_symmetry_space_group_name_Hall '-P 2a 2a'
loop_
_atom_site_label
_atom_site_type_symbol
_atom_site_fract_x
_atom_site_fract_y
_atom_site_fract_z
Fe1 Fe 0.2500 0.0000 0.1271
Co1 Co 0.2500 0.0000 0.6271
Co2 Co 0.2500 0.5000 0.3788
Co3 Co 0.2500 0.5000 0.8736
# Volume in A^3/atom: 11.3
# Formation enthalpy at 0 K in eV per formula unit: 0.2
# Spin magnetization in μB/atom: 1.99
# Calculated total energy in eV per atom: -7.407

***

Entry 2:
# BaLaBr2 PBE relaxed
data_BaLaBr2
_cell_length_a 5.2549
_cell_length_b 3.9552
_cell_length_c 6.5824
_cell_angle_alpha 90.00
_cell_angle_beta 107.76
_cell_angle_gamma 90.00
_symmetry_space_group_name_H-M 'P 1 2/m 1'
_symmetry_Int_Tables_number 10
_symmetry_space_group_name_Hall '-P 2y'
loop_
_atom_site_label
_atom_site_type_symbol
_atom_site_fract_x
_atom_site_fract_y
_atom_site_fract_z
Ba1 Ba 0.0000 0.0000 0.0000
La1 La 0.5000 0.5000 0.5000
Br1 Br 0.0000 0.0000 0.5000
Br2 Br 0.5000 0.5000 0.0000
# Volume in A^3/atom: 32.6
# Offset from the most stable computed form in meV per atom: 45
# Spin magnetization in μB/atom: 0.00
# Calculated total energy in eV per atom: -3.873

***

Entry 3:
# SiAsRhBr2 PBE relaxed
data_SiAsRhBr2
_cell_length_a 4.8970
_cell_length_b 4.8970
_cell_length_c 5.0215
_cell_angle_alpha 90.00
_cell_angle_beta 90.00
_cell_angle_gamma 90.00
_symmetry_space_group_name_H-M 'P 4/m m m'
_symmetry_Int_Tables_number 123
_symmetry_space_group_name_Hall '-P 4 2'
loop_
_atom_site_label
_atom_site_type_symbol
_atom_site_fract_x
_atom_site_fract_y
_atom_site_fract_z
Si1 Si 0.0000 0.0000 0.0000
As1 As 0.0000 0.0000 0.5000
Rh1 Rh 0.5000 0.5000 0.5000
Br1 Br 0.0000 0.5000 0.0000
# Volume in A^3/atom: 24.1
# Offset from the most stable computed form in meV per atom: 293
# Spin magnetization in μB/atom: 0.31
# Calculated total energy in eV per atom: -3.292

***

Entry 4:
# BaSn5Bi PBE relaxed
data_BaSn5Bi
_cell_length_a 13.7010
_cell_length_b 10.5615
_cell_length_c 7.3412
_cell_angle_alpha 90.00
_cell_angle_beta 122.12
_cell_angle_gamma 90.00
_symmetry_space_group_name_H-M 'C 1 2/c 1'
_symmetry_Int_Tables_number 15
_symmetry_space_group_name_Hall '-C 2yc'
loop_
_atom_site_label
_atom_site_type_symbol
_atom_site_fract_x
_atom_site_fract_y
_atom_site_fract_z
Ba1 Ba 0.0000 0.1880 0.2500
Sn1 Sn 0.0000 0.2208 0.7500
Sn2 Sn 0.2327 0.4775 0.4822
Sn3 Sn 0.2496 0.2502 0.2088
Bi1 Bi 0.0000 0.5000 0.0000
# Volume in A^3/atom: 32.1
# Formation enthalpy at 0 K in eV per formula unit: -1.1
# Spin magnetization in μB/atom: 0.00
# Calculated total energy in eV per atom: -3.844

***

Entry 5:
# LaFe2Br PBE relaxed
data_LaFe2Br
_cell_length_a 4.6097
_cell_length_b 4.6097
_cell_length_c 15.6734
_cell_angle_alpha 90.00
_cell_angle_beta 90.00
_cell_angle_gamma 90.00
_symmetry_space_group_name_H-M 'I 41/a m d'
_symmetry_Int_Tables_number 141
loop_
_symmetry_equiv_pos_as_xyz
'x,y,z'
'-x,-y,-z'
'-y+1/4,x+3/4,z+1/4'
'y+1/4,-x+3/4,-z+1/4'
'-x+1/2,-y,z+1/2'
'x+1/2,y,-z+1/2'
'y+1/4,-x+1/4,z+3/4'
'-y+1/4,x+1/4,-z+3/4'
'x,-y,-z'
'-x,y,z'
'-y+1/4,-x+1/4,-z+3/4'
'y+1/4,x+1/4,z+3/4'
'-x+1/2,y,-z+1/2'
'x+1/2,-y,z+1/2'
'y+1/4,x+3/4,-z+1/4'
'-y+1/4,-x+3/4,z+1/4'
'x+1/2,y+1/2,z+1/2'
'-x+1/2,-y+1/2,-z+1/2'
'-y+3/4,x+1/4,z+3/4'
'y+3/4,-x+1/4,-z+3/4'
'-x,-y+1/2,z'
'x,y+1/2,-z'
'y+3/4,-x+3/4,z+1/4'
'-y+3/4,x+3/4,-z+1/4'
'x+1/2,-y+1/2,-z+1/2'
'-x+1/2,y+1/2,z+1/2'
'-y+3/4,-x+3/4,-z+1/4'
'y+3/4,x+3/4,z+1/4'
'-x,y+1/2,-z'
'x,-y+1/2,z'
'y+3/4,x+1/4,-z+3/4'
'-y+3/4,-x+1/4,z+3/4'
loop_
_atom_site_label
_atom_site_type_symbol
_atom_site_fract_x
_atom_site_fract_y
_atom_site_fract_z
La1 La 0.0000 0.2500 0.3750
Fe1 Fe 0.0000 0.0000 0.0000
Br1 Br 0.0000 0.2500 0.8750
# Volume in A^3/atom: 20.8
# Offset from the most stable computed form in meV per atom: 460
# Spin magnetization in μB/atom: 0.36
# Calculated total energy in eV per atom: -5.532

***

Entry 6:
# Cu5Ag3Te12 PBE relaxed
data_Cu5Ag3Te12
_cell_length_a 16.5212
_cell_length_b 16.5212
_cell_length_c 16.5212
_cell_angle_alpha 90.00
_cell_angle_beta 90.00
_cell_angle_gamma 90.00
_symmetry_space_group_name_H-M 'I a -3 d'
_symmetry_Int_Tables_number 230
_symmetry_space_group_name_Hall '-I 4bd 2c 3'
loop_
_atom_site_label
_atom_site_type_symbol
_atom_site_fract_x
_atom_site_fract_y
_atom_site_fract_z
Cu1 Cu 0.0000 0.0000 0.0000
Cu2 Cu 0.0000 0.2500 0.3750
Ag1 Ag 0.0000 0.2500 0.1250
Te1 Te 0.0141 0.0471 0.6564
# Volume in A^3/atom: 28.2
# Spin magnetization in μB/atom: 0.00
# Calculated total energy in eV per atom: -3.198

***

Entry 7:
# Sm2ZnGa2 PBE relaxed
data_Sm2ZnGa2
_cell_length_a 10.7760
_cell_length_b 4.4905
_cell_length_c 10.6861
_cell_angle_alpha 90.00
_cell_angle_beta 118.06
_cell_angle_gamma 90.00
_symmetry_space_group_name_H-M 'C 1 2/m 1'
_symmetry_Int_Tables_number 12
_symmetry_space_group_name_Hall '-C 2y'
loop_
_atom_site_label
_atom_site_type_symbol
_atom_site_fract_x
_atom_site_fract_y
_atom_site_fract_z
Sm1 Sm 0.0204 0.0000 0.3335
Sm2 Sm 0.1832 0.0000 0.0950
Zn1 Zn 0.2277 0.5000 0.3458
Ga1 Ga 0.0157 0.5000 0.8812
Ga2 Ga 0.1394 0.5000 0.5655
# Volume in A^3/atom: 22.8
# Formation enthalpy at 0 K in eV per formula unit: -2.9
# Spin magnetization in μB/atom: 0.06
# Calculated total energy in eV per atom: -3.925

***

Entry 8:
# K2CrCo PBE relaxed
data_K2CrCo
_cell_length_a 12.4120
_cell_length_b 12.4120
_cell_length_c 4.4764
_cell_angle_alpha 90.00
_cell_angle_beta 90.00
_cell_angle_gamma 90.00
_symmetry_space_group_name_H-M 'I -4 2 d'
_symmetry_Int_Tables_number 122
_symmetry_space_group_name_Hall 'I -4 2bw'
loop_
_atom_site_label
_atom_site_type_symbol
_atom_site_fract_x
_atom_site_fract_y
_atom_site_fract_z
K1 K 0.0707 0.2500 0.1250
Cr1 Cr 0.0000 0.0000 0.5000
Co1 Co 0.0000 0.0000 0.0000
# Volume in A^3/atom: 43.1
# Formation enthalpy at 0 K in eV per formula unit: 4.1
# Offset from the most stable computed form in meV per atom: 241
# Spin magnetization in μB/atom: 0.82
# Calculated total energy in eV per atom: -3.708

***

Entry 9:
# Sm3OsBrCl PBE relaxed
data_Sm3OsBrCl
_cell_length_a 9.1703
_cell_length_b 3.9625
_cell_length_c 9.4758
_cell_angle_alpha 90.00
_cell_angle_beta 103.54
_cell_angle_gamma 90.00
_symmetry_space_group_name_H-M 'P 1 21/m 1'
_symmetry_Int_Tables_number 11
_symmetry_space_group_name_Hall '-P 2yb'
loop_
_atom_site_label
_atom_site_type_symbol
_atom_site_fract_x
_atom_site_fract_y
_atom_site_fract_z
Sm1 Sm 0.1389 0.2500 0.1065
Sm2 Sm 0.1421 0.2500 0.4602
Sm3 Sm 0.2598 0.7500 0.8109
Os1 Os 0.0350 0.2500 0.7615
Br1 Br 0.4130 0.7500 0.1322
Cl1 Cl 0.3686 0.7500 0.5599
# Volume in A^3/atom: 27.9
# Spin magnetization in μB/atom: 0.00
# Calculated total energy in eV per atom: -5.808

***

Entry 10:
# AcTa2Se7 PBE relaxed
data_AcTa2Se7
_cell_length_a 8.2198
_cell_length_b 12.9998
_cell_length_c 4.9427
_cell_angle_alpha 90.00
_cell_angle_beta 90.00
_cell_angle_gamma 90.00
_symmetry_space_group_name_H-M 'C m m m'
_symmetry_Int_Tables_number 65
_symmetry_space_group_name_Hall '-C 2 2'
loop_
_atom_site_label
_atom_site_type_symbol
_atom_site_fract_x
_atom_site_fract_y
_atom_site_fract_z
Ac1 Ac 0.0000 0.0000 0.0000
Ta1 Ta 0.0000 0.3051 0.5000
Se1 Se 0.0000 0.2872 0.0000
Se2 Se 0.0000 0.5000 0.5000
Se3 Se 0.1831 0.1312 0.5000
# Volume in A^3/atom: 26.4
# Spin magnetization in μB/atom: 0.00
# Calculated total energy in eV per atom: -6.007

***

Entry 11:
# La2DyTl3S6 PBE relaxed
data_La2DyTl3S6
_cell_length_a 7.2799
_cell_length_b 12.5979
_cell_length_c 7.8472
_cell_angle_alpha 90.00
_cell_angle_beta 107.98
_cell_angle_gamma 90.00
_symmetry_space_group_name_H-M 'C 1 2/m 1'
_symmetry_Int_Tables_number 12
_symmetry_space_group_name_Hall '-C 2y'
loop_
_atom_site_label
_atom_site_type_symbol
_atom_site_fract_x
_atom_site_fract_y
_atom_site_fract_z
La1 La 0.0000 0.1667 0.0000
Dy1 Dy 0.0000 0.5000 0.0000
Tl1 Tl 0.0000 0.0000 0.5000
Tl2 Tl 0.0000 0.3334 0.5000
S1 S 0.2275 0.3397 0.2011
S2 S 0.2472 0.0000 0.2042
# Volume in A^3/atom: 28.5
# Spin magnetization in μB/atom: 0.00
# Calculated total energy in eV per atom: -5.371

***

Entry 12:
# In2CoSe PBE relaxed
data_In2CoSe
_cell_length_a 6.9029
_cell_length_b 6.9029
_cell_length_c 6.9029
_cell_angle_alpha 90.00
_cell_angle_beta 90.00
_cell_angle_gamma 90.00
_symmetry_space_group_name_H-M 'F -4 3 m'
_symmetry_Int_Tables_number 216
_symmetry_space_group_name_Hall 'F -4 2 3'
loop_
_atom_site_label
_atom_site_type_symbol
_atom_site_fract_x
_atom_site_fract_y
_atom_site_fract_z
In1 In 0.0000 0.0000 0.0000
In2 In 0.2500 0.2500 0.2500
Co1 Co 0.2500 0.2500 0.7500
Se1 Se 0.0000 0.0000 0.5000
# Volume in A^3/atom: 20.6
# Spin magnetization in μB/atom: 0.24
# Calculated total energy in eV per atom: -3.590